PrDyErIn: relaxed, PBE-GGA.

a b c (Å): 5.508 5.508 5.508
angles (deg): 60.00 60.00 60.00
Last column: magnetic moment on the atom in μB.
Atoms (fractional coordinates):
Pr1 0.250 0.250 0.250  0.14
Dy1 0.750 0.750 0.750  0.20
In1 0.000 0.000 0.000  0.00
Er1 0.500 0.500 0.500  0.25

Properties
DOS at the Fermi energy in states/eV per cell: 6.35
Relative energy among the computed polymorphs in kJ per mole of atoms: 0.0
Energy of formation in eV/f.u.: -0.6

=====

Pr3Dy6Er2In: relaxed, PBE-GGA.

a b c (Å): 6.165 6.165 11.669
angles (deg): 95.06 95.06 119.98
Atoms (fractional coordinates):
Pr1 0.167 0.833 0.500
Pr2 0.833 0.167 0.500
Pr3 0.500 0.500 0.500
Dy1 0.920 0.592 0.759
Dy2 0.753 0.753 0.242
Dy3 0.080 0.408 0.241
Dy4 0.592 0.920 0.759
Dy5 0.247 0.247 0.758
Dy6 0.408 0.080 0.241
Er1 0.334 0.666 0.000
Er2 0.666 0.334 0.000
In1 0.000 0.000 0.000

Properties
DOS at the Fermi energy in states/eV per cell: 16.79
Energy of formation in eV/f.u.: -0.4

=====

DyErInPt: relaxed, PBE-GGA.

a b c (Å): 5.107 5.107 5.107
angles (deg): 60.00 60.00 60.00
Atoms (fractional coordinates):
Dy1 0.500 0.500 0.500
In1 0.250 0.250 0.250
Pt1 0.750 0.750 0.750
Er1 0.000 0.000 0.000

Properties
DOS at the Fermi energy in states/eV per cell: 3.35
Energy of formation in eV/f.u.: -3.0

=====

DyErPuIn: relaxed, PBE-GGA.

a b c (Å): 5.405 5.405 5.405
angles (deg): 60.00 60.00 60.00
Last column: magnetic moment on the atom in μB.
Atoms (fractional coordinates):
Er1 0.750 0.750 0.750  0.42
In1 0.250 0.250 0.250  -0.03
Dy1 0.000 0.000 0.000  0.23
Pu1 0.500 0.500 0.500  5.54

Properties
DOS at the Fermi energy in states/eV per cell: 8.52
Energy of formation in eV/f.u.: -0.1

=====

Result set for calculated volume: 29.55; 31.52; 23.54; 27.92 Å³ per atom, one per record in the order listed.
Result set for DFT total energy: -4.31; -4.52; -5.25; -6.59 eV per atom, one per record in the order listed.
Result set for spin magnetization: 0.21; 0.00; 0.00; 1.65 μB per atom, one per record in the order listed.